{
  "formula": "Li2Fe3NiO8",
  "functional": "PBE with a Hubbard U",
  "state": "optimized geometry",
  "lattice_angstrom": [[-5.712, 0.095, 1.498], [1.706, -2.897, -4.800], [1.390, -2.156, 5.380]],
  "species": ["Fe", "Li", "O", "Li", "Fe", "O", "O", "O", "O", "O", "Ni", "Fe", "O", "O"],
  "frac_coords": [[0.000, 0.500, 0.000], [0.500, 0.000, 0.500], [0.263, 0.983, 0.211], [0.500, 0.500, 0.500], [0.500, 0.000, 0.000], [0.718, 0.465, 0.211], [0.289, 0.043, 0.792], [0.737, 0.507, 0.786], [0.711, 0.957, 0.208], [0.737, 0.017, 0.789], [0.000, 0.000, 0.000], [0.500, 0.500, 0.000], [0.263, 0.493, 0.214], [0.282, 0.535, 0.789]],
  "polymorph_energy_ev_per_atom": 0.000,
  "e_tot_ev_per_atom": -5.7444,
  "spacegroup": "P-1, No. 2",
  "n_ef_per_ev_cell": 3.09,
  "vol_a3_per_atom": 10.51,
  "density_g_cm3": 4.2,
  "m_tot_mub_per_atom": 0.857
}